1.
Density functional theory data (PBE) for a geometry-optimized AcPmGdTl structure.

Unit cell a=5.7274 b=5.7274 c=5.7274 alpha=60.00 beta=60.00 gamma=60.00
Last column: magnetic moment on the atom in μB.
Element x y z (fractional)
Ac  0.0000  0.0000  0.0000  0.12
Gd  0.5000  0.5000  0.5000  7.37
Tl  0.7500  0.7500  0.7500  -0.01
Pm  0.2500  0.2500  0.2500  0.38

Output
- Energy of formation from the pure elements: -0.0323 eV/atom
- Calculated total energy: -25.435 eV/f.u.


2.
Density functional theory data (PBE) for a geometry-optimized Sm2UPaC4 structure.

Unit cell a=3.6474 b=6.2443 c=6.3063 alpha=70.33 beta=90.00 gamma=90.00
Element x y z (fractional)
Sm  0.0000  0.0000  0.0000
Sm  0.5000  0.0000  0.5000
U  0.5000  0.5000  0.0000
Pa  0.0000  0.5000  0.5000
C  0.0000  0.7071  0.7735
C  0.0000  0.2929  0.2265
C  0.5000  0.7116  0.2526
C  0.5000  0.2884  0.7474

Output
- Energy of formation from the pure elements: -0.2564 eV/atom
- Calculated total energy: -69.169 eV/f.u.


3.
Density functional theory data (PBE) for a geometry-optimized LaIn structure.

Unit cell a=6.4047 b=6.4047 c=6.4047 alpha=140.41 beta=132.81 gamma=63.24
Element x y z (fractional)
In  0.9700  0.9700  0.0000
In  0.7800  0.2800  0.5000
La  0.5108  0.5108  0.0000
La  0.2392  0.7392  0.5000

Output
- Energy of formation from the pure elements: -0.4975 eV/atom
- Calculated total energy: -8.661 eV/f.u.


4.
Density functional theory data (PBE) for a geometry-optimized KSm2Br8 structure.

Unit cell a=5.6824 b=8.5107 c=8.5107 alpha=115.50 beta=90.03 gamma=90.03
Last column: magnetic moment on the atom in μB.
Element x y z (fractional)
K  0.5000  0.0000  0.0000  0.00
Sm  0.0000  0.3035  0.6965  0.00
Sm  0.0000  0.6965  0.3035  0.00
Br  0.9995  0.9426  0.6746  0.00
Br  0.9995  0.6746  0.9426  0.00
Br  0.2523  0.5003  0.5003  0.08
Br  0.5000  0.7423  0.2577  0.00
Br  0.5000  0.2577  0.7423  0.00
Br  0.7477  0.4997  0.4997  0.08
Br  0.0005  0.3254  0.0574  0.00
Br  0.0005  0.0574  0.3254  0.00

Output
- ΔE_f (raw): -1645 meV/atom
- Calculated total energy: -42.010 eV/f.u.


5.
Density functional theory data (PBE) for a geometry-optimized YPdAu2 structure.

Unit cell a=6.3536 b=6.3536 c=6.3536 alpha=52.10 beta=143.98 gamma=143.66
Element x y z (fractional)
Y  0.0000  0.0000  0.0000
Pd  0.0000  0.5000  0.5000
Au  0.0000  0.2645  0.2645
Au  0.0000  0.7355  0.7355

Output
- Energy of formation from the pure elements: -0.3189 eV/atom
- Calculated total energy: -19.487 eV/f.u.


6.
Density functional theory data (PBE) for a geometry-optimized LiPrGe2Au structure.

Unit cell a=4.2482 b=4.2482 c=6.2794 alpha=109.77 beta=109.77 gamma=90.00
Element x y z (fractional)
Li  0.7500  0.2500  0.5000
Pr  0.0000  0.0000  0.0000
Ge  0.6125  0.6125  0.2250
Ge  0.3875  0.3875  0.7750
Au  0.2500  0.7500  0.5000

Output
- Energy of formation from the pure elements: -0.6829 eV/atom
- Calculated total energy: -22.620 eV/f.u.


7.
Density functional theory data (PBE) for a geometry-optimized Sm4AgHg5 structure.

Unit cell a=5.2190 b=6.4245 c=8.4643 alpha=103.77 beta=107.96 gamma=90.00
Element x y z (fractional)
Sm  0.6873  0.3203  0.3746
Sm  0.0941  0.8378  0.1882
Sm  0.3127  0.6797  0.6254
Sm  0.9059  0.1622  0.8118
Ag  0.5000  0.0000  0.0000
Hg  0.2858  0.1632  0.5715
Hg  0.1005  0.3540  0.2010
Hg  0.8995  0.6460  0.7990
Hg  0.5000  0.5000  0.0000
Hg  0.7142  0.8368  0.4285

Output
- Energy of formation from the pure elements: -0.4062 eV/atom
- Calculated total energy: -27.299 eV/f.u.


8.
Density functional theory data (PBE) for a geometry-optimized ScBe2Tc structure.

Unit cell a=5.6092 b=5.6092 c=5.6092 alpha=36.13 beta=36.13 gamma=36.13
Element x y z (fractional)
Sc  0.5089  0.5089  0.5089
Be  0.9684  0.9684  0.9684
Be  0.3063  0.3063  0.3063
Tc  0.7165  0.7165  0.7165

Output
- Energy of formation from the pure elements: -0.0500 eV/atom
- Calculated total energy: -24.350 eV/f.u.


9.
Density functional theory data (PBE) for a geometry-optimized CaCrCd2 structure.

Unit cell a=4.4271 b=4.5798 c=4.5798 alpha=90.00 beta=90.00 gamma=90.00
Last column: magnetic moment on the atom in μB.
Element x y z (fractional)
Cr  0.5000  0.5000  0.0000  3.75
Ca  0.5000  0.0000  0.5000  -0.02
Cd  0.0000  0.0000  0.0000  -0.04
Cd  0.0000  0.5000  0.5000  -0.04

Output
- Energy of formation from the pure elements: 0.1657 eV/atom
- Calculated total energy: -12.792 eV/f.u.


10.
Density functional theory data (PBE) for a geometry-optimized GaSiRh structure.

Unit cell a=3.3657 b=3.9292 c=7.2736 alpha=90.00 beta=103.38 gamma=90.00
Element x y z (fractional)
Ga  0.9397  0.2500  0.8794
Ga  0.0603  0.7500  0.1206
Si  0.2601  0.2500  0.5203
Si  0.7399  0.7500  0.4797
Rh  0.6417  0.2500  0.2834
Rh  0.3583  0.7500  0.7166

Output
- ΔE_f (raw): -416 meV/atom
- Calculated total energy: -17.050 eV/f.u.


11.
Density functional theory data (PBE) for a geometry-optimized LaPm4Er2Tm2 structure.

Unit cell a=5.0709 b=8.0333 c=8.0370 alpha=107.14 beta=90.00 gamma=108.40
Element x y z (fractional)
La  0.0000  0.0000  0.0000
Pm  0.7766  0.5533  0.6682
Pm  0.2234  0.4467  0.3318
Pm  0.5547  0.1093  0.3332
Pm  0.4453  0.8907  0.6668
Er  0.8885  0.7771  0.3343
Er  0.1115  0.2229  0.6657
Tm  0.3307  0.6614  0.0012
Tm  0.6693  0.3386  0.9988

Output
- Energy of formation from the pure elements: 0.0243 eV/atom
- Calculated total energy: -41.780 eV/f.u.


12.
Density functional theory data (PBE) for a geometry-optimized CeScRuPt structure.

Unit cell a=4.8015 b=4.8015 c=4.8015 alpha=60.00 beta=60.00 gamma=60.00
Last column: magnetic moment on the atom in μB.
Element x y z (fractional)
Sc  0.5000  0.5000  0.5000  0.02
Ru  0.2500  0.2500  0.2500  -0.06
Ce  0.0000  0.0000  0.0000  0.33
Pt  0.7500  0.7500  0.7500  -0.01

Output
- Energy of formation from the pure elements: -0.7107 eV/atom
- Calculated total energy: -30.425 eV/f.u.


13.
Density functional theory data (PBE) for a geometry-optimized TlPt2W structure.

Unit cell a=7.1050 b=7.1050 c=7.1050 alpha=157.32 beta=145.09 gamma=42.03
Element x y z (fractional)
Pt  0.0522  0.0522  0.0000
Pt  0.7854  0.2854  0.5000
Tl  0.4442  0.4442  0.0000
W  0.2181  0.7181  0.5000

Output
- Energy of formation from the pure elements: 0.1796 eV/atom
- Calculated total energy: -26.682 eV/f.u.